Record 1
Entry from Alexandria via LeMat-Bulk: a relaxed Ce3Be crystal (PBE).

Properties
DFT total energy: -5.05 eV/atom
symmetry: Pmm2

a b c (Å): 3.0345 3.0463 9.6607
angles (deg): 90.00 90.00 90.00
Last column: nearest neighbours and their distance in Å.
Fractional positions:
Be (0.0000, 0.0000, 0.9756)  6 Ce 2.84-2.89, 4 Be 3.03-3.05
Ce (0.5000, 0.5000, 0.1757)  4 Be 2.89, 6 Ce 3.03-3.10
Ce (0.0000, 0.5000, 0.4553)  10 Ce 3.03-3.39
Ce (0.5000, 0.0000, 0.7268)  2 Be 2.84, 4 Ce 3.03-3.05

Record 2
Entry from Alexandria via LeMat-Bulk: a relaxed Nd12ScCd6 crystal (PBE).

Properties
DFT total energy: -3.74 eV/atom
symmetry: R-3

a b c (Å): 8.2941 8.2941 8.2941
angles (deg): 87.91 87.91 87.91
Last column: nearest neighbours and their distance in Å.
Fractional positions:
Nd (0.8480, 0.6182, 0.9583)  4 Nd 3.22-3.46, 5 Cd 3.33-3.58, 1 Sc 3.48
Nd (0.5324, 0.4346, 0.8075)  4 Cd 3.30-3.64, 5 Nd 3.38-3.68
Nd (0.1925, 0.4676, 0.5654)  4 Cd 3.30-3.64, 5 Nd 3.38-3.68
Nd (0.0417, 0.1520, 0.3818)  4 Nd 3.22-3.46, 5 Cd 3.33-3.58, 1 Sc 3.48
Nd (0.4676, 0.5654, 0.1925)  4 Cd 3.30-3.64, 5 Nd 3.38-3.68
Nd (0.3818, 0.0417, 0.1520)  4 Nd 3.22-3.46, 5 Cd 3.33-3.58, 1 Sc 3.48
Nd (0.8075, 0.5324, 0.4346)  4 Cd 3.30-3.64, 5 Nd 3.38-3.68
Nd (0.6182, 0.9583, 0.8480)  4 Nd 3.22-3.46, 5 Cd 3.33-3.58, 1 Sc 3.48
Nd (0.4346, 0.8075, 0.5324)  4 Cd 3.30-3.64, 5 Nd 3.38-3.68
Nd (0.5654, 0.1925, 0.4676)  4 Cd 3.30-3.64, 5 Nd 3.38-3.68
Nd (0.1520, 0.3818, 0.0417)  4 Nd 3.22-3.46, 5 Cd 3.33-3.58, 1 Sc 3.48
Nd (0.9583, 0.8480, 0.6182)  4 Nd 3.22-3.46, 5 Cd 3.33-3.58, 1 Sc 3.48
Cd (0.8887, 0.2534, 0.7425)  1 Sc 3.08, 2 Cd 3.24, 5 Nd 3.30-3.45
Cd (0.2575, 0.1113, 0.7466)  1 Sc 3.08, 2 Cd 3.24, 5 Nd 3.30-3.45
Cd (0.7425, 0.8887, 0.2534)  1 Sc 3.08, 2 Cd 3.24, 5 Nd 3.30-3.45
Cd (0.1113, 0.7466, 0.2575)  1 Sc 3.08, 2 Cd 3.24, 5 Nd 3.30-3.45
Cd (0.7466, 0.2575, 0.1113)  1 Sc 3.08, 2 Cd 3.24, 5 Nd 3.30-3.45
Cd (0.2534, 0.7425, 0.8887)  1 Sc 3.08, 2 Cd 3.24, 5 Nd 3.30-3.45
Sc (0.0000, 0.0000, 0.0000)  6 Cd 3.08

Record 3
Entry from Alexandria via LeMat-Bulk: a relaxed YMn2Pb crystal (PBE).

Properties
DFT total energy: -6.65 eV/atom
symmetry: R-3m

a b c (Å): 9.7505 9.7505 9.7505
angles (deg): 19.64 19.64 19.64
Last column: nearest neighbours and their distance in Å.
Fractional positions:
Mn (0.9997, 0.9997, 0.9997)  3 Pb 3.06, 3 Y 3.07, 6 Mn 3.33
Mn (0.5003, 0.5003, 0.5003)  3 Pb 3.06, 3 Y 3.07, 6 Mn 3.33
Y (0.7500, 0.7500, 0.7500)  6 Mn 3.07, 6 Y 3.33
Pb (0.2500, 0.2500, 0.2500)  6 Mn 3.06, 6 Pb 3.33

Record 4
Entry from Alexandria via LeMat-Bulk: a relaxed K3BiH crystal (PBE).

Properties
DFT total energy: -2.25 eV/atom
symmetry: P2_1/c

a b c (Å): 8.4723 9.4128 9.4714
angles (deg): 98.54 90.00 90.00
Last column: nearest neighbours and their distance in Å.
Fractional positions:
H (0.9854, 0.7086, 0.5164)  1 Bi 2.13
H (0.4854, 0.7914, 0.9836)  1 Bi 2.13
H (0.5146, 0.2086, 0.0164)  1 Bi 2.13
H (0.0146, 0.2914, 0.4836)  1 Bi 2.13
K (0.9939, 0.0522, 0.2223)  1 H 3.09
K (0.5061, 0.5522, 0.7223)  1 H 3.09
K (0.2517, 0.8173, 0.4243)  1 H 2.68
K (0.2483, 0.3173, 0.9243)  1 H 2.68
K (0.7483, 0.1827, 0.5757)  1 H 2.68
K (0.0061, 0.9478, 0.7777)  1 H 3.09
K (0.5056, 0.9758, 0.7965)  2 H 2.66-2.79
K (0.9944, 0.4758, 0.2965)  2 H 2.66-2.79
K (0.0056, 0.5242, 0.7035)  2 H 2.66-2.79
K (0.7517, 0.6827, 0.0757)  1 H 2.68
K (0.4939, 0.4478, 0.2777)  1 H 3.09
K (0.4944, 0.0242, 0.2035)  2 H 2.66-2.79
Bi (0.2515, 0.7178, 0.0146)  1 H 2.13
Bi (0.7515, 0.7822, 0.4854)  1 H 2.13
Bi (0.7485, 0.2822, 0.9854)  1 H 2.13
Bi (0.2485, 0.2178, 0.5146)  1 H 2.13

Record 5
Entry from Alexandria via LeMat-Bulk: a relaxed Cs3Pm2SnSe6 crystal (PBE).

Properties
ΔE_f (raw): -1.370 eV per atom
symmetry: C2/m

a b c (Å): 7.5541 7.5541 8.7415
angles (deg): 98.27 98.27 120.01
Last column: nearest neighbours and their distance in Å.
Fractional positions:
Pm (0.6667, 0.3333, 0.0000)  6 Se 2.98
Pm (0.3333, 0.6667, 0.0000)  6 Se 2.98
Se (0.0624, 0.3918, 0.1874)  1 Sn 2.94, 2 Pm 2.98
Se (0.9376, 0.6082, 0.8126)  1 Sn 2.94, 2 Pm 2.98
Se (0.6082, 0.9376, 0.8126)  1 Sn 2.94, 2 Pm 2.98
Se (0.2668, 0.2668, 0.8121)  1 Sn 2.94, 2 Pm 2.98
Se (0.3918, 0.0624, 0.1874)  1 Sn 2.94, 2 Pm 2.98
Se (0.7332, 0.7332, 0.1879)  1 Sn 2.94, 2 Pm 2.98
Cs (0.1671, 0.8329, 0.5000)  6 Se 3.62-3.65
Cs (0.5000, 0.5000, 0.5000)  6 Se 3.62-3.65
Cs (0.8329, 0.1671, 0.5000)  6 Se 3.62-3.65
Sn (0.0000, 0.0000, 0.0000)  6 Se 2.94

Record 6
Entry from Alexandria via LeMat-Bulk: a relaxed NdPt4Au8 crystal (PBE).

Properties
DFT total energy: -4.49 eV/atom
symmetry: I4/mmm

a b c (Å): 5.6638 7.1798 7.1798
angles (deg): 81.05 66.77 66.77
Last column: nearest neighbours and their distance in Å.
Fractional positions:
Pt (0.0000, 0.5000, 0.0000)  8 Au 2.75-2.84, 2 Pt 2.83
Pt (0.5000, 0.0000, 0.5000)  8 Au 2.75-2.84, 2 Pt 2.83
Pt (0.0000, 0.0000, 0.5000)  8 Au 2.75-2.84, 2 Pt 2.83
Pt (0.5000, 0.5000, 0.0000)  8 Au 2.75-2.84, 2 Pt 2.83
Au (0.3349, 0.6651, 0.6651)  4 Pt 2.84, 5 Au 3.04-3.08, 1 Nd 3.12
Au (0.5000, 0.2176, 0.7824)  4 Pt 2.75, 6 Au 2.87-3.05
Au (0.6651, 0.3349, 0.3349)  4 Pt 2.84, 5 Au 3.04-3.08, 1 Nd 3.12
Au (0.0000, 0.3349, 0.6651)  4 Pt 2.84, 5 Au 3.04-3.08, 1 Nd 3.12
Au (0.0000, 0.6651, 0.3349)  4 Pt 2.84, 5 Au 3.04-3.08, 1 Nd 3.12
Au (0.2824, 0.2176, 0.2176)  4 Pt 2.75, 6 Au 2.87-3.05
Au (0.7176, 0.7824, 0.7824)  4 Pt 2.75, 6 Au 2.87-3.05
Au (0.5000, 0.7824, 0.2176)  4 Pt 2.75, 6 Au 2.87-3.05
Nd (0.0000, 0.0000, 0.0000)  12 Au 3.12-3.48